DFT (PBE) results for a relaxed IrSe3F crystal.

a = 4.8907 Å, b = 4.8907 Å, c = 4.8907 Å
α = 90.00°, β = 90.00°, γ = 90.00°
Space group Pm-3m (No. 221)
Inequivalent atoms, fractional coordinates:
Ir1 0.0000 0.0000 0.0000 (multiplicity 1)
Se1 0.0000 0.0000 0.5000 (multiplicity 3)
F1 0.5000 0.5000 0.5000 (multiplicity 1)

E above lowest polymorph   0 meV/atom
Formation energy from raw total energies   0.418 eV per atom

DFT (PBE) results for a relaxed La3TbTl crystal.

a = 4.9526 Å, b = 26.4838 Å, c = 4.9456 Å
α = 90.00°, β = 90.00°, γ = 90.00°
Space group Cmcm (No. 63)
Inequivalent atoms, fractional coordinates:
La1 0.0000 0.0531 0.2500 (multiplicity 4)
La2 0.0000 0.2503 0.2500 (multiplicity 4)
La3 0.0000 0.4421 0.2500 (multiplicity 4)
Tb1 0.0000 0.3477 0.7500 (multiplicity 4)
Tl1 0.0000 0.1532 0.7500 (multiplicity 4)

E above lowest polymorph   0 meV/atom
Calculated formation energy   -0.1473 eV/atom

DFT (PBE) results for a relaxed Ac4Tm crystal.

a = 10.2028 Å, b = 10.2028 Å, c = 4.0767 Å
α = 90.00°, β = 90.00°, γ = 90.00°
Space group I4/m (No. 87)
Inequivalent atoms, fractional coordinates:
Ac1 0.0856 0.7204 0.0000 (multiplicity 8)
Tm1 0.0000 0.0000 0.5000 (multiplicity 2)

E above lowest polymorph   0 meV/atom
Calculated formation energy   0.0991 eV/atom

DFT (PBE) results for a relaxed TaBPtAu2 crystal.

a = 4.3562 Å, b = 4.3562 Å, c = 4.2532 Å
α = 90.00°, β = 90.00°, γ = 90.00°
Space group P4/mmm (No. 123)
Inequivalent atoms, fractional coordinates:
Ta1 0.0000 0.0000 0.0000 (multiplicity 1)
B1 0.5000 0.5000 0.5000 (multiplicity 1)
Pt1 0.5000 0.5000 0.0000 (multiplicity 1)
Au1 0.0000 0.5000 0.5000 (multiplicity 2)

Calculated formation energy   0.4434 eV/atom

How do the records compare in total moment? In the order shown, they have 0.0 0.0 0.0 0.0 μB/f.u..
How do the records compare in density of states at the Fermi level? In the order shown, they have 6.70 26.38 19.92 4.93 states/eV/cell.